# 1
First-principles (PBE) data for a relaxed structure of TmB2O4, as listed in the Alexandria database.

a = 2.742 Å, b = 2.742 Å, c = 10.553 Å
α = 82.54°, β = 82.54°, γ = 60.00°
Atoms (fractional coordinates):
O 0.282 0.282 0.153
O 0.718 0.718 0.847
O 0.112 0.112 0.665
O 0.888 0.888 0.335
B 0.762 0.762 0.715
B 0.238 0.238 0.285
Tm 0.000 0.000 0.000

Output
Total energy ... -51.3 eV/cell
Symmetry ... No. 166
Energy above the most stable polymorph in this dataset ... 535 meV/atom
Formation energy from raw total energies ... -1949 meV per atom

=====

# 2
First-principles (PBE) data for a relaxed structure of La4Sm5Mg2, as listed in the Alexandria database.

a = 3.592 Å, b = 8.931 Å, c = 14.312 Å
α = 125.27°, β = 97.21°, γ = 90.00°
Atoms (fractional coordinates):
Sm 0.184 0.899 0.367
Sm 0.500 0.000 0.000
Sm 0.128 0.151 0.255
Sm 0.872 0.849 0.745
Sm 0.816 0.101 0.633
La 0.929 0.569 0.858
La 0.071 0.431 0.142
La 0.715 0.604 0.429
La 0.285 0.396 0.571
Mg 0.557 0.745 0.115
Mg 0.443 0.255 0.885

Output
Total energy ... -45.9 eV/cell
Symmetry ... No. 12

=====

# 3
First-principles (PBE) data for a relaxed structure of VFeTeN2, as listed in the Alexandria database.

a = 3.767 Å, b = 3.767 Å, c = 5.644 Å
α = 90.00°, β = 90.00°, γ = 90.00°
Each line ends with the local moment (μB).
Atoms (fractional coordinates):
Fe 0.500 0.500 0.500  3.00
Te 0.000 0.000 0.500  0.02
V 0.000 0.000 0.000  -0.06
N 0.000 0.500 0.000  0.17
N 0.500 0.000 0.000  0.17

Output
Total energy ... -34.3 eV/cell
Symmetry ... No. 123
Energy above the most stable polymorph in this dataset ... 0 meV/atom
Formation energy from raw total energies ... 605 meV per atom

=====

# 4
First-principles (PBE) data for a relaxed structure of ScTa3F, as listed in the Alexandria database.

a = 4.819 Å, b = 4.819 Å, c = 4.819 Å
α = 90.00°, β = 90.00°, γ = 90.00°
Atoms (fractional coordinates):
Sc 0.000 0.000 0.000
F 0.500 0.500 0.500
Ta 0.500 0.000 0.000
Ta 0.000 0.000 0.500
Ta 0.000 0.500 0.000

Output
Total energy ... -33.7 eV/cell
Symmetry ... No. 221
Energy above the most stable polymorph in this dataset ... 1930 meV/atom
Formation energy from raw total energies ... 2006 meV per atom

=====

# 5
First-principles (PBE) data for a relaxed structure of HfV2Os2, as listed in the Alexandria database.

a = 4.053 Å, b = 4.053 Å, c = 5.954 Å
α = 70.10°, β = 70.10°, γ = 90.00°
Atoms (fractional coordinates):
Os 0.619 0.619 0.763
Os 0.381 0.381 0.237
Hf 0.000 0.000 0.000
V 0.750 0.250 0.500
V 0.250 0.750 0.500

Output
Total energy ... -51.3 eV/cell
Symmetry ... No. 139
Energy above the most stable polymorph in this dataset ... 0 meV/atom

=====

# 6
First-principles (PBE) data for a relaxed structure of DyMgSc4, as listed in the Alexandria database.

a = 3.331 Å, b = 3.330 Å, c = 13.671 Å
α = 89.99°, β = 89.99°, γ = 90.00°
Atoms (fractional coordinates):
Sc 0.500 0.500 0.822
Sc 0.500 0.500 0.178
Sc 0.000 0.000 0.340
Sc 0.000 0.000 0.660
Mg 0.500 0.500 0.500
Dy 0.000 0.000 0.000

Output
Total energy ... -31.4 eV/cell
Symmetry ... No. 123
Energy above the most stable polymorph in this dataset ... 0 meV/atom

=====

# 7
First-principles (PBE) data for a relaxed structure of Cr2BiBr, as listed in the Alexandria database.

a = 7.128 Å, b = 7.128 Å, c = 6.506 Å
α = 56.78°, β = 56.78°, γ = 90.00°
Each line ends with the local moment (μB).
Atoms (fractional coordinates):
Br 0.500 0.500 0.000  -0.01
Br 0.250 0.750 0.500  -0.01
Cr 0.875 0.861 0.750  3.81
Cr 0.139 0.625 0.250  3.79
Cr 0.611 0.125 0.250  3.78
Cr 0.375 0.389 0.750  3.79
Bi 0.750 0.250 0.500  -0.39
Bi 0.000 0.000 0.000  -0.39

Output
Total energy ... -46.2 eV/cell
Symmetry ... No. 122
Energy above the most stable polymorph in this dataset ... 0 meV/atom
Formation energy from raw total energies ... 428 meV per atom

=====

# 8
First-principles (PBE) data for a relaxed structure of SmYHg6, as listed in the Alexandria database.

a = 4.636 Å, b = 4.636 Å, c = 9.298 Å
α = 90.00°, β = 90.00°, γ = 90.00°
Atoms (fractional coordinates):
Y 0.000 0.000 0.500
Hg 0.000 0.500 0.252
Hg 0.500 0.500 0.500
Hg 0.500 0.500 0.000
Hg 0.000 0.500 0.748
Hg 0.500 0.000 0.252
Hg 0.500 0.000 0.748
Sm 0.000 0.000 0.000

Output
Total energy ... -15.7 eV/cell
Symmetry ... No. 123
Energy above the most stable polymorph in this dataset ... 32 meV/atom